[1]
The following is a DFT calculation (PBE) of a relaxed PrMgInBi crystal.

Unit cell a=4.5734 b=4.8946 c=4.9559 alpha=90.00 beta=90.00 gamma=90.00
Fractional coordinates of all 4 atoms:
Pr1 0.0000 0.0000 0.0000
Mg1 0.0000 0.5000 0.5000
In1 0.5000 0.0000 0.5000
Bi1 0.5000 0.5000 0.0000

Results
For the magnetic moment, the calculation gives 0.00 μB/f.u. The formation energy comes out at -461 meV per atom. As for the space group: Pmmm (47). Its polymorph energy (0 for the lowest one) is 0 meV/atom.


[2]
The following is a DFT calculation (PBE) of a relaxed PrMgInBi crystal.

Unit cell a=7.7094 b=7.7094 c=7.7094 alpha=90.00 beta=90.00 gamma=90.00
Fractional coordinates of all 16 atoms:
Pr1 0.0000 0.0000 0.0000
Pr2 0.0000 0.5000 0.5000
Pr3 0.5000 0.0000 0.5000
Pr4 0.5000 0.5000 0.0000
Mg1 0.0000 0.0000 0.5000
Mg2 0.0000 0.5000 0.0000
Mg3 0.5000 0.0000 0.0000
Mg4 0.5000 0.5000 0.5000
In1 0.2500 0.2500 0.2500
In2 0.2500 0.7500 0.7500
In3 0.7500 0.2500 0.7500
In4 0.7500 0.7500 0.2500
Bi1 0.2500 0.2500 0.7500
Bi2 0.2500 0.7500 0.2500
Bi3 0.7500 0.2500 0.2500
Bi4 0.7500 0.7500 0.7500

Results
For the magnetic moment, the calculation gives 0.00 μB/f.u. The formation energy comes out at -281 meV per atom. As for the space group: F-43m (216). Its polymorph energy (0 for the lowest one) is 180 meV/atom.


[3]
The following is a DFT calculation (PBE) of a relaxed PuMgInBi crystal.

Unit cell a=4.4770 b=4.7111 c=5.0013 alpha=90.00 beta=90.00 gamma=90.00
Fractional coordinates of all 4 atoms:
Pu1 0.0000 0.0000 0.0000
Mg1 0.0000 0.5000 0.5000
In1 0.5000 0.0000 0.5000
Bi1 0.5000 0.5000 0.0000

Results
For the magnetic moment, the calculation gives 5.83 μB/f.u. The formation energy comes out at -255 meV per atom. As for the space group: Pmmm (47). Its polymorph energy (0 for the lowest one) is 0 meV/atom.


[4]
The following is a DFT calculation (PBE) of a relaxed PuMgInBi crystal.

Unit cell a=7.5546 b=7.5546 c=7.5546 alpha=90.00 beta=90.00 gamma=90.00
Fractional coordinates of all 16 atoms:
Pu1 0.0000 0.0000 0.0000
Pu2 0.0000 0.5000 0.5000
Pu3 0.5000 0.0000 0.5000
Pu4 0.5000 0.5000 0.0000
Mg1 0.0000 0.0000 0.5000
Mg2 0.0000 0.5000 0.0000
Mg3 0.5000 0.0000 0.0000
Mg4 0.5000 0.5000 0.5000
In1 0.2500 0.2500 0.7500
In2 0.2500 0.7500 0.2500
In3 0.7500 0.2500 0.2500
In4 0.7500 0.7500 0.7500
Bi1 0.2500 0.2500 0.2500
Bi2 0.2500 0.7500 0.7500
Bi3 0.7500 0.2500 0.7500
Bi4 0.7500 0.7500 0.2500

Results
For the magnetic moment, the calculation gives 5.77 μB/f.u. The formation energy comes out at -134 meV per atom. As for the space group: F-43m (216). Its polymorph energy (0 for the lowest one) is 122 meV/atom.


[5]
The following is a DFT calculation (PBE) of a relaxed RbMgInBi crystal.

Unit cell a=5.5347 b=5.5328 c=8.5469 alpha=90.00 beta=90.01 gamma=90.00
Fractional coordinates of all 8 atoms:
Rb1 0.0000 0.0000 0.0000
Rb2 0.5000 0.5000 0.0000
Mg1 0.0024 0.0000 0.4908
Mg2 0.5024 0.5000 0.4908
In1 0.0014 0.5000 0.3074
In2 0.5014 0.0000 0.3074
Bi1 0.0006 0.5000 0.6802
Bi2 0.5006 0.0000 0.6802

Results
For the magnetic moment, the calculation gives 0.00 μB/f.u. The formation energy comes out at -147 meV per atom. As for the space group: Cm (8).


[6]
The following is a DFT calculation (PBE) of a relaxed MgInBiSb crystal.

Unit cell a=7.5847 b=7.5847 c=7.5847 alpha=90.00 beta=90.00 gamma=90.00
Fractional coordinates of all 16 atoms:
Mg1 0.0000 0.0000 0.0000
Mg2 0.0000 0.5000 0.5000
Mg3 0.5000 0.0000 0.5000
Mg4 0.5000 0.5000 0.0000
In1 0.0000 0.0000 0.5000
In2 0.0000 0.5000 0.0000
In3 0.5000 0.0000 0.0000
In4 0.5000 0.5000 0.5000
Bi1 0.2500 0.2500 0.7500
Bi2 0.2500 0.7500 0.2500
Bi3 0.7500 0.2500 0.2500
Bi4 0.7500 0.7500 0.7500
Sb1 0.2500 0.2500 0.2500
Sb2 0.2500 0.7500 0.7500
Sb3 0.7500 0.2500 0.7500
Sb4 0.7500 0.7500 0.2500

Results
For the magnetic moment, the calculation gives 0.00 μB/f.u. As for the space group: F-43m (216). The calculation puts the formation energy without anion corrections at 50 meV/atom.


[7]
The following is a DFT calculation (PBE) of a relaxed MgIn2BiSe6 crystal.

Unit cell a=9.1557 b=9.1557 c=7.4554 alpha=102.27 beta=102.27 gamma=93.39
Fractional coordinates of all 20 atoms:
Mg1 0.1953 0.8047 0.7500
Mg2 0.8047 0.1953 0.2500
In1 0.2968 0.4553 0.3388
In2 0.4553 0.2968 0.8388
In3 0.5447 0.7032 0.1612
In4 0.7032 0.5447 0.6612
Bi1 0.0852 0.9148 0.2500
Bi2 0.9148 0.0852 0.7500
Se1 0.0670 0.1940 0.1529
Se2 0.0833 0.6098 0.4337
Se3 0.1940 0.0670 0.6529
Se4 0.2876 0.4879 0.9891
Se5 0.3902 0.9167 0.0663
Se6 0.4879 0.2876 0.4891
Se7 0.5121 0.7124 0.5109
Se8 0.6098 0.0833 0.9337
Se9 0.7124 0.5121 0.0109
Se10 0.8060 0.9330 0.3471
Se11 0.9167 0.3902 0.5663
Se12 0.9330 0.8060 0.8471

Results
For the magnetic moment, the calculation gives 0.93 μB/f.u. As for the space group: C2/c (15). The calculation puts the formation energy without anion corrections at -494 meV/atom.


[8]
The following is a DFT calculation (PBE) of a relaxed SmMgInBi crystal.

Unit cell a=7.6332 b=7.6332 c=7.6332 alpha=90.00 beta=90.00 gamma=90.00
Fractional coordinates of all 16 atoms:
Sm1 0.0000 0.0000 0.0000
Sm2 0.0000 0.5000 0.5000
Sm3 0.5000 0.0000 0.5000
Sm4 0.5000 0.5000 0.0000
Mg1 0.0000 0.0000 0.5000
Mg2 0.0000 0.5000 0.0000
Mg3 0.5000 0.0000 0.0000
Mg4 0.5000 0.5000 0.5000
In1 0.2500 0.2500 0.2500
In2 0.2500 0.7500 0.7500
In3 0.7500 0.2500 0.7500
In4 0.7500 0.7500 0.2500
Bi1 0.2500 0.2500 0.7500
Bi2 0.2500 0.7500 0.2500
Bi3 0.7500 0.2500 0.2500
Bi4 0.7500 0.7500 0.7500

Results
For the magnetic moment, the calculation gives 0.00 μB/f.u. The formation energy comes out at -268 meV per atom. As for the space group: F-43m (216).